A plane-wave DFT calculation with PBE-GGA was carried out for a relaxed structure of LaNdScHg.

Calculated values
**Symmetry**: F-43m
**ΔE_f**: -0.40 eV/f.u.
**Crystal system**: cubic

```
LaNdScHg
1.0
5.491 0.000 0.000
2.745 4.755 0.000
2.745 1.585 4.483
Sc Nd Hg La
1 1 1 1
Cartesian
5.491 3.170 2.242
2.745 1.585 1.121
0.000 0.000 0.000
8.236 4.755 3.362
```